Material: Pa3Si6Pt20
Method: DFT, GGA-PBE
State: relaxed

The total DFT energy (no corrections) is -204.24 eV/f.u. The calculated volume is 16.478 A^3/atom.

It has space group Fm-3m (No. 225), with a = 12.410 Å, b = 12.410 Å, c = 12.410 Å, α = 90.00°, β = 90.00° and γ = 90.00°. The asymmetric unit holds Pa at (0.000, 0.000, 0.000), Pa at (0.250, 0.250, 0.250), Si at (0.000, 0.000, 0.267), Pt at (0.000, 0.172, 0.172) and Pt at (0.117, 0.117, 0.383).